Material: ReC
Method: DFT, PBE-GGA
State: relaxed

a = 9.8997 Å, b = 2.8144 Å, c = 4.9612 Å
α = 90.00°, β = 111.94°, γ = 90.00°
Space group Cm (No. 8)
Inequivalent atoms, fractional coordinates:
Re  0.0000  0.0000  0.0000 x2
Re  0.1227  0.0000  0.5864 x2
Re  0.3097  0.5000  0.3725 x2
C  0.1513  0.5000  0.9376 x2
C  0.3449  0.0000  0.7217 x2
C  0.4651  0.0000  0.3100 x2

Output
- formation energy from the elements (eV/atom) = 0.4843
- energy above the most stable polymorph in this dataset (meV per atom) = 243.9
- total magnetization (μB/cell) = 0.00
- theoretical density (g/cm³) = 15.4
- crystal system = monoclinic